# Mn2Ni6Te3PbO18

An optimized crystal structure of Mn2Ni6Te3PbO18 (PBE+U, Alexandria via LeMat-Bulk).

a b c (Å): 9.4091 9.4091 8.9264
angles (deg): 90.00 90.00 120.00
Positions (direct):
Mn1 0.3333 0.6667 0.0600
Mn2 0.3333 0.6667 0.4400
Mn3 0.6667 0.3333 0.5600
Mn4 0.6667 0.3333 0.9400
Ni1 0.0109 0.6510 0.0888
Ni2 0.0109 0.6510 0.4112
Ni3 0.3490 0.3599 0.0888
Ni4 0.3490 0.3599 0.4112
Ni5 0.3599 0.0109 0.5888
Ni6 0.3599 0.0109 0.9112
Ni7 0.6401 0.9891 0.0888
Ni8 0.6401 0.9891 0.4112
Ni9 0.6510 0.6401 0.5888
Ni10 0.6510 0.6401 0.9112
Ni11 0.9891 0.3490 0.5888
Ni12 0.9891 0.3490 0.9112
Te1 0.0255 0.6635 0.7500
Te2 0.3365 0.3620 0.7500
Te3 0.3620 0.0255 0.2500
Te4 0.6380 0.9745 0.7500
Te5 0.6635 0.6380 0.2500
Te6 0.9745 0.3365 0.2500
Pb1 0.0000 0.0000 0.0000
Pb2 0.0000 0.0000 0.5000
O1 0.1000 0.3047 0.0910
O2 0.1000 0.3047 0.4090
O3 0.1058 0.2926 0.7500
O4 0.1292 0.6067 0.5871
O5 0.1292 0.6067 0.9129
O6 0.1330 0.5806 0.2500
O7 0.1868 0.8942 0.7500
O8 0.2047 0.9000 0.0910
O9 0.2047 0.9000 0.4090
O10 0.2926 0.1868 0.2500
O11 0.3047 0.2047 0.5910
O12 0.3047 0.2047 0.9090
O13 0.3933 0.5225 0.5871
O14 0.3933 0.5225 0.9129
O15 0.4194 0.5524 0.2500
O16 0.4476 0.8670 0.2500
O17 0.4775 0.8708 0.5871
O18 0.4775 0.8708 0.9129
O19 0.5225 0.1292 0.0871
O20 0.5225 0.1292 0.4129
O21 0.5524 0.1330 0.7500
O22 0.5806 0.4476 0.7500
O23 0.6067 0.4775 0.0871
O24 0.6067 0.4775 0.4129
O25 0.6953 0.7953 0.0910
O26 0.6953 0.7953 0.4090
O27 0.7074 0.8132 0.7500
O28 0.7953 0.1000 0.5910
O29 0.7953 0.1000 0.9090
O30 0.8132 0.1058 0.2500
O31 0.8670 0.4194 0.7500
O32 0.8708 0.3933 0.0871
O33 0.8708 0.3933 0.4129
O34 0.8942 0.7074 0.2500
O35 0.9000 0.6953 0.5910
O36 0.9000 0.6953 0.9090

- Density: 6.50 g/cm3
- Density of states at the Fermi level: 0.00 states/eV per cell
- Space-group type: No. 176
- Uncorrected energy: -5.63 eV/atom